No. 1
PmY5Er7: relaxed, PBE-GGA.

Properties
ΔH_f (0 K): 0.27 eV/atom
Crystal system: orthorhombic
M_tot: 0.000 μB per cell

abc: 6.733 8.656 8.656
angles: 79.11 67.11 67.11
Fractional positions:
1 Er 0.518 0.153 0.811
2 Y 0.536 0.458 0.007
3 Er 0.020 0.310 0.651
4 Y 0.000 0.458 0.007
5 Er 0.268 0.232 0.232
6 Er 0.020 0.651 0.310
7 Er 0.518 0.811 0.153
8 Er 0.271 0.729 0.729
9 Y 0.000 0.007 0.458
10 Pm 0.970 0.030 0.030
11 Y 0.536 0.007 0.458
12 Er 0.574 0.426 0.426
13 Y 0.770 0.730 0.730

=====

No. 2
PmY2Er: relaxed, PBE-GGA.

Properties
ΔH_f (0 K): 0.02 eV/atom
Crystal system: tetragonal
M_tot: 0.000 μB per cell

abc: 5.060 5.053 5.053
angles: 90.00 90.00 90.00
Fractional positions:
1 Pm 0.500 0.500 0.500
2 Y 0.000 0.500 0.000
3 Y 0.000 0.000 0.500
4 Er 0.500 0.000 0.000